Run i
An optimized crystal structure of ZrReP2O. Source: Alexandria, functional PBE.

Results
- V (Å³ per cell) = 85.20
- theoretical density (g/cm³) = 6.9

Cell: 4.814 4.814 3.676 Å, 90.00 90.00 90.00°
Space group P4/mmm (No. 123)
Symmetry-distinct sites (fractional):
Zr  0.000  0.000  0.000 (multiplicity 1)
Re  0.500  0.500  0.500 (multiplicity 1)
P  0.000  0.500  0.500 (multiplicity 2)
O  0.500  0.500  0.000 (multiplicity 1)

---

Run ii
An optimized crystal structure of ZrReP2O. Source: Alexandria, functional PBE.

Results
- V (Å³ per cell) = 101.96
- theoretical density (g/cm³) = 5.8

Cell: 5.106 5.106 3.911 Å, 90.00 90.00 90.00°
Space group P4/mmm (No. 123)
Symmetry-distinct sites (fractional):
Zr  0.000  0.000  0.000 (multiplicity 1)
Re  0.500  0.500  0.500 (multiplicity 1)
P  0.000  0.500  0.000 (multiplicity 2)
O  0.000  0.000  0.500 (multiplicity 1)

---

Comparing the structures above, run i comes out on top by 727 meV/atom.